Entry from OQMD: a geometry-optimized CsErSeS structure (PBE).

Summary:
Its symmetry is No. 164. The calculation puts the volume at 122.29 Å³/f.u. The calculation puts the total energy at -20.1 eV per formula unit.

a b c (Å): 4.149 4.149 16.403
angles (deg): 90.00 90.00 120.00
Fractional coordinates of all 8 atoms:
S 0.667 0.333 0.413
S 0.333 0.667 0.587
Cs 0.667 0.333 0.743
Cs 0.333 0.667 0.257
Se 0.667 0.333 0.096
Er 0.000 0.000 0.500
Se 0.333 0.667 0.904
Er 0.000 0.000 0.000

Entry from OQMD: a geometry-optimized CsErSeS structure (PBE).

Summary:
Its symmetry is No. 187. The calculation puts the volume at 121.70 Å³/f.u. The calculation puts the total energy at -20.1 eV per formula unit.

a b c (Å): 4.141 4.141 16.392
angles (deg): 90.00 90.00 120.00
Fractional coordinates of all 8 atoms:
Cs 0.000 0.000 0.000
Se 0.000 0.000 0.661
Er 0.667 0.333 0.757
Er 0.667 0.333 0.243
S 0.333 0.667 0.844
S 0.333 0.667 0.156
Cs 0.333 0.667 0.500
Se 0.000 0.000 0.339

Entry from OQMD: a geometry-optimized CsErSeS structure (PBE).

Summary:
Its symmetry is No. 186. The calculation puts the volume at 121.67 Å³/f.u. The calculation puts the total energy at -20.1 eV per formula unit.

a b c (Å): 4.141 4.141 16.384
angles (deg): 90.00 90.00 120.00
Fractional coordinates of all 8 atoms:
Er 0.000 0.000 0.005
S 0.667 0.333 0.090
S 0.333 0.667 0.590
Se 0.667 0.333 0.408
Se 0.333 0.667 0.908
Er 0.000 0.000 0.505
Cs 0.333 0.667 0.247
Cs 0.667 0.333 0.747

Entry from OQMD: a geometry-optimized CsSmErS3 structure (PBE).

Summary:
Its symmetry is No. 63. The calculation puts the volume at 194.26 Å³/f.u. The calculation puts the total energy at -32.6 eV per formula unit.

a b c (Å): 8.213 8.213 11.026
angles (deg): 90.00 90.00 148.51
Fractional coordinates of all 12 atoms:
S 0.886 0.114 0.052
S 0.886 0.114 0.448
S 0.114 0.886 0.552
Er 0.030 0.970 0.750
Er 0.970 0.030 0.250
S 0.447 0.553 0.750
Cs 0.239 0.761 0.250
Cs 0.761 0.239 0.750
S 0.553 0.447 0.250
Sm 0.500 0.500 0.000
Sm 0.500 0.500 0.500
S 0.114 0.886 0.948